# 1
# Li2Sb3Pd8 (PBE, optimized geometry)
data_Li2Sb3Pd8
_symmetry_space_group_name_H-M 'P 1'
_symmetry_Int_Tables_number 1
_cell_length_a 9.8828
_cell_length_b 9.8828
_cell_length_c 9.8828
_cell_angle_alpha 31.45
_cell_angle_beta 31.45
_cell_angle_gamma 31.45
loop_
_symmetry_equiv_pos_as_xyz
'x,y,z'
loop_
_atom_site_label
_atom_site_fract_x
_atom_site_fract_y
_atom_site_fract_z
_atom_site_occupancy
Li1 0.1303 0.1303 0.1303 1
Li2 0.8697 0.8697 0.8697 1
Sb1 0.3065 0.3065 0.3065 1
Sb2 0.5000 0.5000 0.5000 1
Sb3 0.6935 0.6935 0.6935 1
Pd1 0.2156 0.2156 0.2156 1
Pd2 0.2248 0.2248 0.7231 1
Pd3 0.2248 0.7231 0.2248 1
Pd4 0.2769 0.7752 0.7752 1
Pd5 0.7231 0.2248 0.2248 1
Pd6 0.7752 0.2769 0.7752 1
Pd7 0.7752 0.7752 0.2769 1
Pd8 0.7844 0.7844 0.7844 1
# * magnetic moment: 0.000 μB per atom
# * energy relative to the elements, uncorrected: -197 meV/atom
# * Fermi-level density of states: 7.59 states/eV/f.u.



# 2
# LiSb2Pd8 (PBE, optimized geometry)
data_LiSb2Pd8
_symmetry_space_group_name_H-M 'P 1'
_symmetry_Int_Tables_number 1
_cell_length_a 7.0361
_cell_length_b 7.0361
_cell_length_c 4.6799
_cell_angle_alpha 102.31
_cell_angle_beta 102.31
_cell_angle_gamma 117.32
loop_
_symmetry_equiv_pos_as_xyz
'x,y,z'
loop_
_atom_site_label
_atom_site_fract_x
_atom_site_fract_y
_atom_site_fract_z
_atom_site_occupancy
Li1 0.0000 0.0000 0.0000 1
Sb1 0.3103 0.6897 0.5000 1
Sb2 0.6897 0.3103 0.5000 1
Pd1 0.0910 0.3200 0.6197 1
Pd2 0.2125 0.7875 0.0000 1
Pd3 0.3200 0.0910 0.6197 1
Pd4 0.3848 0.3848 0.1788 1
Pd5 0.6152 0.6152 0.8212 1
Pd6 0.6800 0.9090 0.3803 1
Pd7 0.7875 0.2125 0.0000 1
Pd8 0.9090 0.6800 0.3803 1
# * E above lowest polymorph: 1.214 eV per formula unit
# * magnetic moment: 0.000 μB per atom
# * energy relative to the elements, uncorrected: -283 meV/atom
# * Fermi-level density of states: 6.39 states/eV/f.u.



# 3
# LiSb2Pd3 (PBE, optimized geometry)
data_LiSb2Pd3
_symmetry_space_group_name_H-M 'P 1'
_symmetry_Int_Tables_number 1
_cell_length_a 4.5349
_cell_length_b 4.5349
_cell_length_c 11.8988
_cell_angle_alpha 90.00
_cell_angle_beta 90.00
_cell_angle_gamma 120.00
loop_
_symmetry_equiv_pos_as_xyz
'x,y,z'
loop_
_atom_site_label
_atom_site_fract_x
_atom_site_fract_y
_atom_site_fract_z
_atom_site_occupancy
Li1 0.3333 0.6667 0.1538 1
Li2 0.6667 0.3333 0.8462 1
Sb1 0.0000 0.0000 0.0000 1
Sb2 0.0000 0.0000 0.5000 1
Sb3 0.3333 0.6667 0.6961 1
Sb4 0.6667 0.3333 0.3039 1
Pd1 0.0000 0.0000 0.2356 1
Pd2 0.0000 0.0000 0.7644 1
Pd3 0.3333 0.6667 0.3821 1
Pd4 0.3333 0.6667 0.9246 1
Pd5 0.6667 0.3333 0.0754 1
Pd6 0.6667 0.3333 0.6179 1
# * E above lowest polymorph: 0.000 eV per formula unit
# * magnetic moment: 0.000 μB per atom
# * energy relative to the elements, uncorrected: -485 meV/atom
# * Fermi-level density of states: 3.40 states/eV/f.u.



# 4
# Li8Sb2Pd (PBE, optimized geometry)
data_Li8Sb2Pd
_symmetry_space_group_name_H-M 'P 1'
_symmetry_Int_Tables_number 1
_cell_length_a 7.8437
_cell_length_b 7.8437
_cell_length_c 7.8437
_cell_angle_alpha 145.79
_cell_angle_beta 132.71
_cell_angle_gamma 59.65
loop_
_symmetry_equiv_pos_as_xyz
'x,y,z'
loop_
_atom_site_label
_atom_site_fract_x
_atom_site_fract_y
_atom_site_fract_z
_atom_site_occupancy
Li1 0.1120 0.3524 0.7596 1
Li2 0.1799 0.1799 0.0000 1
Li3 0.2600 0.0000 0.2600 1
Li4 0.4072 0.6476 0.7596 1
Li5 0.5928 0.3524 0.2404 1
Li6 0.7400 0.0000 0.7400 1
Li7 0.8201 0.8201 0.0000 1
Li8 0.8880 0.6476 0.2404 1
Sb1 0.3237 0.8237 0.5000 1
Sb2 0.6763 0.1763 0.5000 1
Pd1 0.0000 0.5000 0.5000 1
# * magnetic moment: 0.000 μB per atom
# * energy relative to the elements, uncorrected: -501 meV/atom
# * Fermi-level density of states: 1.43 states/eV/f.u.



# 5
# Li2Sb2Pd (PBE, optimized geometry)
data_Li2Sb2Pd
_symmetry_space_group_name_H-M 'P 1'
_symmetry_Int_Tables_number 1
_cell_length_a 7.5359
_cell_length_b 7.5359
_cell_length_c 3.2758
_cell_angle_alpha 90.00
_cell_angle_beta 90.00
_cell_angle_gamma 90.00
loop_
_symmetry_equiv_pos_as_xyz
'x,y,z'
loop_
_atom_site_label
_atom_site_fract_x
_atom_site_fract_y
_atom_site_fract_z
_atom_site_occupancy
Li1 0.1141 0.3859 0.0000 1
Li2 0.3859 0.8859 0.0000 1
Li3 0.6141 0.1141 0.0000 1
Li4 0.8859 0.6141 0.0000 1
Sb1 0.1895 0.6895 0.5000 1
Sb2 0.3105 0.1895 0.5000 1
Sb3 0.6895 0.8105 0.5000 1
Sb4 0.8105 0.3105 0.5000 1
Pd1 0.0000 0.0000 0.0000 1
Pd2 0.5000 0.5000 0.0000 1
# * E above lowest polymorph: 1.075 eV per formula unit
# * magnetic moment: 0.000 μB per atom
# * energy relative to the elements, uncorrected: -258 meV/atom
# * Fermi-level density of states: 2.14 states/eV/f.u.



# 6
# Li2Sb5Pd12 (PBE, optimized geometry)
data_Li2Sb5Pd12
_symmetry_space_group_name_H-M 'P 1'
_symmetry_Int_Tables_number 1
_cell_length_a 7.8978
_cell_length_b 7.8978
_cell_length_c 9.2347
_cell_angle_alpha 105.08
_cell_angle_beta 105.08
_cell_angle_gamma 41.03
loop_
_symmetry_equiv_pos_as_xyz
'x,y,z'
loop_
_atom_site_label
_atom_site_fract_x
_atom_site_fract_y
_atom_site_fract_z
_atom_site_occupancy
Li1 0.2405 0.7595 0.0000 1
Li2 0.7595 0.2405 0.0000 1
Sb1 0.0000 0.0000 0.5000 1
Sb2 0.3215 0.3215 0.6614 1
Sb3 0.3514 0.3514 0.1481 1
Sb4 0.6486 0.6486 0.8519 1
Sb5 0.6785 0.6785 0.3386 1
Pd1 0.0557 0.5649 0.8983 1
Pd2 0.0922 0.5831 0.4006 1
Pd3 0.1125 0.1125 0.3085 1
Pd4 0.4169 0.9078 0.5994 1
Pd5 0.4351 0.9443 0.1017 1
Pd6 0.4912 0.4912 0.6461 1
Pd7 0.5088 0.5088 0.3539 1
Pd8 0.5649 0.0557 0.8983 1
Pd9 0.5831 0.0922 0.4006 1
Pd10 0.8875 0.8875 0.6915 1
Pd11 0.9078 0.4169 0.5994 1
Pd12 0.9443 0.4351 0.1017 1
# * magnetic moment: 0.000 μB per atom
# * energy relative to the elements, uncorrected: -358 meV/atom
# * Fermi-level density of states: 7.43 states/eV/f.u.



# 7
# LiSb2Pd9 (PBE, optimized geometry)
data_LiSb2Pd9
_symmetry_space_group_name_H-M 'P 1'
_symmetry_Int_Tables_number 1
_cell_length_a 4.0421
_cell_length_b 4.0421
_cell_length_c 11.7672
_cell_angle_alpha 90.00
_cell_angle_beta 90.00
_cell_angle_gamma 90.00
loop_
_symmetry_equiv_pos_as_xyz
'x,y,z'
loop_
_atom_site_label
_atom_site_fract_x
_atom_site_fract_y
_atom_site_fract_z
_atom_site_occupancy
Li1 0.0000 0.0000 0.0000 1
Sb1 0.0000 0.0000 0.3207 1
Sb2 0.0000 0.0000 0.6793 1
Pd1 0.0000 0.5000 0.1605 1
Pd2 0.0000 0.5000 0.5000 1
Pd3 0.0000 0.5000 0.8395 1
Pd4 0.5000 0.0000 0.1605 1
Pd5 0.5000 0.0000 0.5000 1
Pd6 0.5000 0.0000 0.8395 1
Pd7 0.5000 0.5000 0.0000 1
Pd8 0.5000 0.5000 0.3331 1
Pd9 0.5000 0.5000 0.6669 1
# * magnetic moment: 0.000 μB per atom
# * energy relative to the elements, uncorrected: -361 meV/atom
# * Fermi-level density of states: 6.64 states/eV/f.u.



# 8
# Li2SbPd2 (PBE, optimized geometry)
data_Li2SbPd2
_symmetry_space_group_name_H-M 'P 1'
_symmetry_Int_Tables_number 1
_cell_length_a 7.1865
_cell_length_b 7.1865
_cell_length_c 7.1865
_cell_angle_alpha 151.19
_cell_angle_beta 151.19
_cell_angle_gamma 41.20
loop_
_symmetry_equiv_pos_as_xyz
'x,y,z'
loop_
_atom_site_label
_atom_site_fract_x
_atom_site_fract_y
_atom_site_fract_z
_atom_site_occupancy
Li1 0.2500 0.7500 0.5000 1
Li2 0.7500 0.2500 0.5000 1
Sb1 0.0000 0.0000 0.0000 1
Pd1 0.3962 0.3962 0.0000 1
Pd2 0.6038 0.6038 0.0000 1
# * E above lowest polymorph: 1.759 eV per formula unit
# * magnetic moment: 0.000 μB per atom
# * energy relative to the elements, uncorrected: -216 meV/atom
# * Fermi-level density of states: 2.35 states/eV/f.u.